1.
Computed, not measured: a geometry-optimized ZnPb3 structure at the PBE level of DFT.

Properties
Its uncorrected energy is -2.9766 eV per atom. The formation energy is 0.5 eV per formula unit.

a b c (Å): 3.5641 3.5641 31.1550
angles (deg): 90.00 90.00 120.00
Space group R-3m (No. 166, hexagonal axes)
Symmetry-distinct sites (fractional):
Zn1 0.0000 0.0000 0.0000 x3
Pb1 0.0000 0.0000 0.2596 x6
Pb2 0.0000 0.0000 0.5000 x3

=====

2.
Computed, not measured: a geometry-optimized Zn3Pb structure at the PBE level of DFT.

Properties
Its uncorrected energy is -1.6773 eV per atom. The formation energy is 0.8 eV per formula unit.

a b c (Å): 3.5505 5.2402 8.8944
angles (deg): 90.00 90.00 90.00
Space group Immm (No. 71)
Symmetry-distinct sites (fractional):
Zn1 0.0000 0.0000 0.0000 x2
Zn2 0.0000 0.5000 0.2768 x4
Pb1 0.0000 0.0000 0.5000 x2